1.
VASP calculation (GGA-PBE) on a geometry-optimized Pm3CdPt3 structure.

Theoretical density = 9564 kg/m3
Energy of formation from the pure elements = -0.798 eV per atom
Energy = -0.4082 Ry/atom
Total moment = 0.0 Bohr magnetons per cell
Crystal system = hexagonal

a = 8.8834 Å, b = 8.8834 Å, c = 5.7552 Å
α = 90.00°, β = 90.00°, γ = 120.00°
Last column: nearest neighbours and their distance in Å.
Positions (direct):
Pm: 0.0355 0.6927 0.2500  5 Pt 2.88-3.02
Pm: 0.3073 0.3428 0.2500  5 Pt 2.88-3.02
Pm: 0.3428 0.0355 0.7500  5 Pt 2.88-3.02
Pm: 0.6572 0.9645 0.2500  5 Pt 2.88-3.02
Pm: 0.6927 0.6572 0.7500  5 Pt 2.88-3.02
Pm: 0.9645 0.3073 0.7500  5 Pt 2.88-3.02
Cd: 0.3333 0.6667 0.7500  3 Pt 2.75
Cd: 0.6667 0.3333 0.2500  3 Pt 2.75
Pt: 0.0280 0.6748 0.7500  1 Cd 2.75, 5 Pm 2.88-3.02
Pt: 0.3252 0.3532 0.7500  1 Cd 2.75, 5 Pm 2.88-3.02
Pt: 0.3532 0.0280 0.2500  1 Cd 2.75, 5 Pm 2.88-3.02
Pt: 0.6468 0.9720 0.7500  1 Cd 2.75, 5 Pm 2.88-3.02
Pt: 0.6748 0.6468 0.2500  1 Cd 2.75, 5 Pm 2.88-3.02
Pt: 0.9720 0.3252 0.2500  1 Cd 2.75, 5 Pm 2.88-3.02

2.
VASP calculation (GGA-PBE) on a geometry-optimized Sc2TlPdC structure.

Theoretical density = 7803 kg/m3
Energy of formation from the pure elements = -0.389 eV per atom
Energy = -0.4614 Ry/atom
Total moment = 0.0 Bohr magnetons per cell
Crystal system = tetragonal

a = 4.5239 Å, b = 4.5239 Å, c = 4.2915 Å
α = 90.00°, β = 90.00°, γ = 90.00°
Last column: nearest neighbours and their distance in Å.
Positions (direct):
Sc: 0.0000 0.5000 0.0000  2 C 2.26
Sc: 0.5000 0.0000 0.0000  2 C 2.26
Tl: 0.0000 0.0000 0.5000  8 Sc 3.12, 4 Pd 3.20
Pd: 0.5000 0.5000 0.5000  2 C 2.15
C: 0.5000 0.5000 0.0000  2 Pd 2.15, 4 Sc 2.26

Copy entry 1 word for word.
VASP calculation (GGA-PBE) on a geometry-optimized Pm3CdPt3 structure.

Theoretical density = 9564 kg/m3
Energy of formation from the pure elements = -0.798 eV per atom
Energy = -0.4082 Ry/atom
Total moment = 0.0 Bohr magnetons per cell
Crystal system = hexagonal

a = 8.8834 Å, b = 8.8834 Å, c = 5.7552 Å
α = 90.00°, β = 90.00°, γ = 120.00°
Last column: nearest neighbours and their distance in Å.
Positions (direct):
Pm: 0.0355 0.6927 0.2500  5 Pt 2.88-3.02
Pm: 0.3073 0.3428 0.2500  5 Pt 2.88-3.02
Pm: 0.3428 0.0355 0.7500  5 Pt 2.88-3.02
Pm: 0.6572 0.9645 0.2500  5 Pt 2.88-3.02
Pm: 0.6927 0.6572 0.7500  5 Pt 2.88-3.02
Pm: 0.9645 0.3073 0.7500  5 Pt 2.88-3.02
Cd: 0.3333 0.6667 0.7500  3 Pt 2.75
Cd: 0.6667 0.3333 0.2500  3 Pt 2.75
Pt: 0.0280 0.6748 0.7500  1 Cd 2.75, 5 Pm 2.88-3.02
Pt: 0.3252 0.3532 0.7500  1 Cd 2.75, 5 Pm 2.88-3.02
Pt: 0.3532 0.0280 0.2500  1 Cd 2.75, 5 Pm 2.88-3.02
Pt: 0.6468 0.9720 0.7500  1 Cd 2.75, 5 Pm 2.88-3.02
Pt: 0.6748 0.6468 0.2500  1 Cd 2.75, 5 Pm 2.88-3.02
Pt: 0.9720 0.3252 0.2500  1 Cd 2.75, 5 Pm 2.88-3.02

Question: Which of these has the highest theoretical density?
Answer: Pm3CdPt3

Question: Among the records above, which one has the highest energy?
Answer: Pm3CdPt3